No. 1
## BeSiSe3 (PBE)

Data for a geometry-optimized BeSiSe3 structure.

Calculated values
raw total energy = -4.412 eV/atom
distance to the lowest polymorph of the same formula = 0 meV/atom
total magnetic moment = 0.00 μB/cell
calculated volume = 28.1 Å³/atom
SG = P2_1/m
formation energy without anion corrections = -2.5 eV/f.u.

Unit cell a=8.053 b=3.640 c=9.895 alpha=90.00 beta=104.23 gamma=90.00
Positions (direct):
Be (0.117, 0.250, 0.497)
Be (0.883, 0.750, 0.503)
Si (0.210, 0.250, 0.787)
Si (0.790, 0.750, 0.213)
Se (0.076, 0.750, 0.357)
Se (0.228, 0.750, 0.939)
Se (0.371, 0.250, 0.635)
Se (0.629, 0.750, 0.365)
Se (0.772, 0.250, 0.061)
Se (0.924, 0.250, 0.643)

No. 2
## BeSiSe2 (PBE)

Data for a geometry-optimized BeSiSe2 structure.

Calculated values
raw total energy = -3.685 eV/atom
distance to the lowest polymorph of the same formula = 752 meV/atom
total magnetic moment = 0.00 μB/cell
calculated volume = 18.5 Å³/atom
SG = P4mm
formation energy without anion corrections = 1.4 eV/f.u.

Unit cell a=2.891 b=2.891 c=8.844 alpha=90.00 beta=90.00 gamma=90.00
Positions (direct):
Be (0.000, 0.000, 0.000)
Si (0.500, 0.500, 0.826)
Se (0.000, 0.000, 0.604)
Se (0.500, 0.500, 0.172)

No. 3
## Be2SiSe (PBE)

Data for a geometry-optimized Be2SiSe structure.

Calculated values
raw total energy = -3.567 eV/atom
distance to the lowest polymorph of the same formula = 417 meV/atom
total magnetic moment = 0.00 μB/cell
calculated volume = 13.8 Å³/atom
SG = Cmmm
formation energy without anion corrections = 2.1 eV/f.u.

Unit cell a=3.440 b=4.708 c=6.801 alpha=90.00 beta=90.00 gamma=90.00
Positions (direct):
Be (0.000, 0.000, 0.238)
Be (0.000, 0.000, 0.762)
Be (0.500, 0.500, 0.238)
Be (0.500, 0.500, 0.762)
Si (0.000, 0.500, 0.000)
Si (0.500, 0.000, 0.000)
Se (0.000, 0.500, 0.500)
Se (0.500, 0.000, 0.500)

- formation energy without anion corrections of number 2 (BeSiSe2)?
  1.4 eV/f.u.

Copy entry 3 word for word.
## Be2SiSe (PBE)

Data for a geometry-optimized Be2SiSe structure.

Calculated values
raw total energy = -3.567 eV/atom
distance to the lowest polymorph of the same formula = 417 meV/atom
total magnetic moment = 0.00 μB/cell
calculated volume = 13.8 Å³/atom
SG = Cmmm
formation energy without anion corrections = 2.1 eV/f.u.

Unit cell a=3.440 b=4.708 c=6.801 alpha=90.00 beta=90.00 gamma=90.00
Positions (direct):
Be (0.000, 0.000, 0.238)
Be (0.000, 0.000, 0.762)
Be (0.500, 0.500, 0.238)
Be (0.500, 0.500, 0.762)
Si (0.000, 0.500, 0.000)
Si (0.500, 0.000, 0.000)
Se (0.000, 0.500, 0.500)
Se (0.500, 0.000, 0.500)